{
  "formula": "SrCaGa2Ru",
  "functional": "GGA-PBE",
  "state": "relaxed",
  "cell": [[4.9466, 0.0000, 0.0000], [0.0000, 4.9466, 0.0000], [0.0000, 0.0000, 5.2355]],
  "species": ["Ga", "Ga", "Ru", "Sr", "Ca"],
  "frac_coords": [[0.5000, 0.0000, 0.0000], [0.0000, 0.5000, 0.0000], [0.0000, 0.0000, 0.0000], [0.5000, 0.5000, 0.5000], [0.0000, 0.0000, 0.5000]],
  "formation_enthalpy_0k_ev_per_atom": -0.216
}



{
  "formula": "Be8C",
  "functional": "GGA-PBE",
  "state": "relaxed",
  "cell": [[-3.4193, 3.4193, 1.4489], [3.4193, -3.4193, 1.4489], [3.4193, 3.4193, -1.4489]],
  "species": ["Be", "Be", "Be", "Be", "Be", "Be", "Be", "Be", "C"],
  "frac_coords": [[0.3415, 0.3415, 0.6830], [0.0000, 0.6646, 0.6646], [0.6646, 0.0000, 0.6646], [0.3354, 0.0000, 0.3354], [0.3415, 0.6585, 0.0000], [0.0000, 0.3354, 0.3354], [0.6585, 0.3415, 0.0000], [0.6585, 0.6585, 0.3170], [0.0000, 0.0000, 0.0000]],
  "formation_enthalpy_0k_ev_per_atom": 0.379
}